[1]
First-principles (GGA-PBE) data for a geometry-optimized NiBPt3 structure, as listed in the Alexandria database.

Values from the calculation:
Energy relative to the elements   0.08 eV per atom
Size of the total moment   1.0 Bohr magnetons per cell
Energy above the most stable polymorph in this dataset   216 meV per atom

Lattice parameters (Å, degrees): 4.1474 4.1474 4.1474 90.00 90.00 90.00
Closest atoms and distances in Å follow each position.
Element x y z (fractional)
Ni1 0.0000 0.0000 0.0000  12 Pt 2.93
B1 0.5000 0.5000 0.5000  6 Pt 2.07
Pt1 0.0000 0.5000 0.5000  2 B 2.07
Pt2 0.5000 0.0000 0.5000  2 B 2.07
Pt3 0.5000 0.5000 0.0000  2 B 2.07

[2]
First-principles (GGA-PBE) data for a geometry-optimized Ni4BPt structure, as listed in the Alexandria database.

Values from the calculation:
Energy relative to the elements   0.07 eV per atom
Size of the total moment   1.3 Bohr magnetons per cell

Lattice parameters (Å, degrees): 3.4397 3.4397 6.1308 90.00 90.00 90.00
Closest atoms and distances in Å follow each position.
Element x y z (fractional)
Ni1 0.0000 0.5000 0.1951  2 B 2.09
Ni2 0.0000 0.5000 0.8049  2 B 2.09
Ni3 0.5000 0.0000 0.1951  2 B 2.09
Ni4 0.5000 0.0000 0.8049  2 B 2.09
B1 0.0000 0.0000 0.0000  8 Ni 2.09
Pt1 0.5000 0.5000 0.5000  8 Ni 2.54

[3]
First-principles (GGA-PBE) data for a geometry-optimized NiB2Pt2 structure, as listed in the Alexandria database.

Values from the calculation:
Energy relative to the elements   -0.06 eV per atom
Size of the total moment   0.0 Bohr magnetons per cell
Energy above the most stable polymorph in this dataset   0 meV per atom

Lattice parameters (Å, degrees): 6.4715 6.4715 6.4715 152.42 152.42 39.40
Closest atoms and distances in Å follow each position.
Element x y z (fractional)
Ni1 0.0000 0.0000 0.0000  8 Pt 2.68
B1 0.2500 0.7500 0.5000  4 Pt 2.14, 4 B 2.18
B2 0.7500 0.2500 0.5000  4 Pt 2.14, 4 B 2.18
Pt1 0.3721 0.3721 0.0000  4 B 2.14
Pt2 0.6279 0.6279 0.0000  4 B 2.14

[4]
First-principles (GGA-PBE) data for a geometry-optimized NiBPt3 structure, as listed in the Alexandria database.

Values from the calculation:
Energy relative to the elements   1.80 eV per atom
Size of the total moment   0.0 Bohr magnetons per cell
Energy above the most stable polymorph in this dataset   1935 meV per atom

Lattice parameters (Å, degrees): 4.5397 4.5397 4.5397 90.00 90.00 90.00
Closest atoms and distances in Å follow each position.
Element x y z (fractional)
Ni1 0.0000 0.0000 0.0000  6 Pt 2.27
B1 0.5000 0.5000 0.5000  12 Pt 3.21
Pt1 0.0000 0.0000 0.5000  2 Ni 2.27
Pt2 0.0000 0.5000 0.0000  2 Ni 2.27
Pt3 0.5000 0.0000 0.0000  2 Ni 2.27

[5]
First-principles (GGA-PBE) data for a geometry-optimized Ni10BPt6 structure, as listed in the Alexandria database.

Values from the calculation:
Energy relative to the elements   0.05 eV per atom
Size of the total moment   5.4 Bohr magnetons per cell

Lattice parameters (Å, degrees): 7.3614 7.3614 4.6754 90.00 90.00 120.00
Closest atoms and distances in Å follow each position.
Element x y z (fractional)
Ni1 0.0000 0.2166 0.2526  1 B 1.98
Ni2 0.0000 0.7834 0.7474  1 B 1.98
Ni3 0.2166 0.0000 0.2526  1 B 1.98
Ni4 0.2166 0.2166 0.7474  1 B 1.98
Ni5 0.3333 0.6667 0.0000  2 Ni 2.34, 6 Pt 2.53
Ni6 0.3333 0.6667 0.5000  2 Ni 2.34, 6 Pt 2.53
Ni7 0.6667 0.3333 0.0000  2 Ni 2.34, 6 Pt 2.53
Ni8 0.6667 0.3333 0.5000  2 Ni 2.34, 6 Pt 2.53
Ni9 0.7834 0.0000 0.7474  1 B 1.98
Ni10 0.7834 0.7834 0.2526  1 B 1.98
B1 0.0000 0.0000 0.0000  6 Ni 1.98
Pt1 0.0000 0.4013 0.7491  9 Ni 2.53-2.81, 2 Pt 2.75-2.76
Pt2 0.0000 0.5987 0.2509  9 Ni 2.53-2.81, 2 Pt 2.75-2.76
Pt3 0.4013 0.0000 0.7491  9 Ni 2.53-2.81, 2 Pt 2.75-2.76
Pt4 0.4013 0.4013 0.2509  9 Ni 2.53-2.81, 2 Pt 2.75-2.76
Pt5 0.5987 0.0000 0.2509  9 Ni 2.53-2.81, 2 Pt 2.75-2.76
Pt6 0.5987 0.5987 0.7491  9 Ni 2.53-2.81, 2 Pt 2.75-2.76

[6]
First-principles (GGA-PBE) data for a geometry-optimized Ni2BPt structure, as listed in the Alexandria database.

Values from the calculation:
Energy relative to the elements   -0.09 eV per atom
Size of the total moment   0.0 Bohr magnetons per cell

Lattice parameters (Å, degrees): 2.6004 2.6004 6.3400 90.00 90.00 90.00
Closest atoms and distances in Å follow each position.
Element x y z (fractional)
Ni1 0.0000 0.0000 0.1860  4 B 2.18, 1 Ni 2.36
Ni2 0.0000 0.0000 0.8140  4 B 2.18, 1 Ni 2.36
B1 0.5000 0.5000 0.0000  8 Ni 2.18
Pt1 0.5000 0.5000 0.5000  4 Pt 2.60, 8 Ni 2.71

[7]
First-principles (GGA-PBE) data for a geometry-optimized Ni3BPt structure, as listed in the Alexandria database.

Values from the calculation:
Energy relative to the elements   0.01 eV per atom
Size of the total moment   0.0 Bohr magnetons per cell
Energy above the most stable polymorph in this dataset   127 meV per atom

Lattice parameters (Å, degrees): 3.8407 3.8407 3.8407 90.00 90.00 90.00
Closest atoms and distances in Å follow each position.
Element x y z (fractional)
Ni1 0.0000 0.0000 0.5000  2 B 1.92
Ni2 0.0000 0.5000 0.0000  2 B 1.92
Ni3 0.5000 0.0000 0.0000  2 B 1.92
B1 0.0000 0.0000 0.0000  6 Ni 1.92
Pt1 0.5000 0.5000 0.5000  12 Ni 2.72

[8]
First-principles (GGA-PBE) data for a geometry-optimized Ni6B3Pt structure, as listed in the Alexandria database.

Values from the calculation:
Energy relative to the elements   -0.20 eV per atom
Size of the total moment   0.0 Bohr magnetons per cell

Lattice parameters (Å, degrees): 7.9512 3.0280 8.4152 90.00 93.60 90.00
Closest atoms and distances in Å follow each position.
Element x y z (fractional)
Ni1 0.0573 0.2500 0.4070  3 B 1.96-2.05
Ni2 0.1197 0.2500 0.9519  3 B 2.04-2.06
Ni3 0.1689 0.7500 0.2118  2 B 2.01
Ni4 0.2196 0.7500 0.7341  4 B 2.04-2.12
Ni5 0.3515 0.2500 0.5403  2 B 1.98
Ni6 0.3754 0.7500 0.9999  2 B 2.06
Ni7 0.6246 0.2500 0.0001  2 B 2.06
Ni8 0.6485 0.7500 0.4597  2 B 1.98
Ni9 0.7804 0.2500 0.2659  4 B 2.04-2.12
Ni10 0.8311 0.2500 0.7882  2 B 2.01
Ni11 0.8803 0.7500 0.0481  3 B 2.04-2.06
Ni12 0.9427 0.7500 0.5930  3 B 1.96-2.05
B1 0.0070 0.2500 0.1657  7 Ni 2.01-2.06
B2 0.1988 0.7500 0.4814  5 Ni 1.96-2.12
B3 0.3808 0.2500 0.8340  4 Ni 2.06-2.12, 2 Pt 2.20
B4 0.6192 0.7500 0.1660  4 Ni 2.06-2.12, 2 Pt 2.20
B5 0.8012 0.2500 0.5186  5 Ni 1.96-2.12
B6 0.9930 0.7500 0.8343  7 Ni 2.01-2.06
Pt1 0.4500 0.2500 0.2594  2 B 2.20
Pt2 0.5500 0.7500 0.7406  2 B 2.20

Which of these has the highest size of the total moment? Ni10BPt6